No. 1
First-principles (SCAN) data for a crystal of MnTc2Br relaxed with PBEsol, as listed in Alexandria.

Cell and atoms, written as POSCAR:
```
MnTc2Br
1.0
2.980 0.000 0.000
0.000 2.980 0.000
0.000 0.000 6.383
Mn Tc Br
1 2 1
Direct
0.000 0.000 0.000
0.500 0.500 0.223
0.500 0.500 0.777
0.000 0.000 0.500
```

Values from the calculation:
Uncorrected formation energy, eV/atom: 0.49
Total magnetization, Bohr magnetons per cell: 1.9

No. 2
First-principles (SCAN) data for a crystal of BeOsW2 relaxed with PBEsol, as listed in Alexandria.

Cell and atoms, written as POSCAR:
```
BeOsW2
1.0
2.790 0.000 0.000
0.000 2.790 0.000
0.000 0.000 6.907
Be Os W
1 1 2
Direct
0.000 0.000 0.000
0.500 0.500 0.188
0.000 0.000 0.446
0.500 0.500 0.763
```

Values from the calculation:
ΔH_f (0 K), meV per atom: 45
Total magnetization, Bohr magnetons per cell: 0.0

No. 3
First-principles (SCAN) data for a crystal of Cd2TeO relaxed with PBEsol, as listed in Alexandria.

Cell and atoms, written as POSCAR:
```
Cd2TeO
1.0
5.778 0.000 0.000
0.000 5.778 0.000
0.000 0.000 11.233
Cd Te O
8 4 4
Direct
0.159 0.250 0.125
0.250 0.659 0.375
0.250 0.841 0.875
0.341 0.250 0.625
0.659 0.750 0.625
0.750 0.159 0.875
0.750 0.341 0.375
0.841 0.750 0.125
0.000 0.000 0.500
0.000 0.500 0.750
0.500 0.000 0.250
0.500 0.500 0.000
0.000 0.000 0.000
0.000 0.500 0.250
0.500 0.000 0.750
0.500 0.500 0.500
```

Values from the calculation:
Uncorrected formation energy, eV/atom: -0.74
Total magnetization, Bohr magnetons per cell: 0.0

No. 4
First-principles (SCAN) data for a crystal of CdCoW3 relaxed with PBEsol, as listed in Alexandria.

Cell and atoms, written as POSCAR:
```
CdCoW3
1.0
4.740 0.000 0.000
0.000 4.740 0.000
0.000 0.000 4.740
Cd Co W
1 1 3
Direct
0.000 0.000 0.000
0.500 0.500 0.500
0.000 0.000 0.500
0.000 0.500 0.000
0.500 0.000 0.000
```

Values from the calculation:
ΔH_f (0 K), meV per atom: 3477
Total magnetization, Bohr magnetons per cell: 2.2

No. 5
First-principles (SCAN) data for a crystal of Y2BeAlBO7 relaxed with PBEsol, as listed in Alexandria.

Cell and atoms, written as POSCAR:
```
Y2BeAlBO7
1.0
4.692 0.000 0.000
0.000 7.294 0.000
-0.002 0.000 7.310
Y Be Al B O
4 2 2 2 14
Direct
0.001 0.000 0.096
0.013 0.325 0.423
0.987 0.825 0.577
0.999 0.500 0.904
0.446 0.528 0.613
0.554 0.028 0.387
0.498 0.662 0.244
0.502 0.162 0.756
0.431 0.802 0.886
0.569 0.302 0.114
0.216 0.024 0.386
0.261 0.307 0.104
0.279 0.338 0.682
0.280 0.584 0.421
0.283 0.742 0.063
0.289 0.982 0.841
0.317 0.677 0.750
0.683 0.177 0.250
0.711 0.482 0.159
0.717 0.242 0.937
0.720 0.084 0.579
0.721 0.838 0.318
0.739 0.807 0.896
0.784 0.524 0.614
```

Values from the calculation:
Uncorrected formation energy, eV/atom: -3.48
Total magnetization, Bohr magnetons per cell: 0.0

No. 6
First-principles (SCAN) data for a crystal of LaHg5 relaxed with PBEsol, as listed in Alexandria.

Cell and atoms, written as POSCAR:
```
LaHg5
1.0
8.881 0.000 0.000
0.000 4.965 0.000
-0.932 0.000 6.554
La Hg
2 10
Direct
0.000 0.000 0.000
0.500 0.500 0.000
0.000 0.000 0.500
0.146 0.500 0.750
0.183 0.500 0.256
0.317 0.000 0.744
0.354 0.000 0.250
0.500 0.500 0.500
0.646 0.000 0.750
0.683 0.000 0.256
0.817 0.500 0.744
0.854 0.500 0.250
```

Values from the calculation:
ΔH_f (0 K), meV per atom: -393
Total magnetization, Bohr magnetons per cell: 0.0

DOS(E_F) readings, ordered: 0.77; 0.48; 0.28; 0.57; 0.00; 0.51 states/eV per atom